1.
# TcNi2Br | Alexandria | PBE | relaxed
# Crystal system = monoclinic
# SG = Cm, No. 8
# Formation energy from raw total energies = 471.3 meV/atom
# Calculated volume = 18.26 A^3/atom
# Density = 6.71 g/cm3
data_TcNi2Br
_chemical_formula_sum 'Tc1 Ni2 Br1'
_space_group_name_H-M_alt 'P 1'
_space_group_IT_number 1
_cell_length_a 4.1860
_cell_length_b 4.1860
_cell_length_c 6.3478
_cell_angle_alpha 95.69
_cell_angle_beta 95.69
_cell_angle_gamma 41.32
loop_
_space_group_symop_operation_xyz
'x,y,z'
loop_
_atom_site_label
_atom_site_type_symbol
_atom_site_fract_x
_atom_site_fract_y
_atom_site_fract_z
_atom_site_occupancy
Tc1 Tc 0.0000 0.0000 0.0000 1
Ni1 Ni 0.2691 0.2691 0.8574 1
Ni2 Ni 0.5418 0.5418 0.6929 1
Br1 Br 0.5826 0.5826 0.3263 1

=====

2.
# TcNiBr | Alexandria | PBE | relaxed
# Crystal system = trigonal
# SG = R3m, No. 160
# Formation energy from raw total energies = 607.1 meV/atom
# Calculated volume = 16.15 A^3/atom
# Density = 8.11 g/cm3
data_TcNiBr
_chemical_formula_sum 'Tc1 Ni1 Br1'
_space_group_name_H-M_alt 'P 1'
_space_group_IT_number 1
_cell_length_a 6.4534
_cell_length_b 6.4534
_cell_length_c 6.4534
_cell_angle_alpha 26.88
_cell_angle_beta 26.88
_cell_angle_gamma 26.88
loop_
_space_group_symop_operation_xyz
'x,y,z'
loop_
_atom_site_label
_atom_site_type_symbol
_atom_site_fract_x
_atom_site_fract_y
_atom_site_fract_z
_atom_site_occupancy
Tc1 Tc 0.0000 0.0000 0.0000 1
Ni1 Ni 0.4321 0.4321 0.4321 1
Br1 Br 0.8700 0.8700 0.8700 1

=====

3.
# TcNiBr6 | Alexandria | PBE | relaxed
# Crystal system = monoclinic
# SG = C2/m, No. 12
# Formation energy from raw total energies = -364.2 meV/atom
# Calculated volume = 34.18 A^3/atom
# Density = 3.86 g/cm3
data_TcNiBr6
_chemical_formula_sum 'Tc1 Ni1 Br6'
_space_group_name_H-M_alt 'P 1'
_space_group_IT_number 1
_cell_length_a 7.1724
_cell_length_b 7.1724
_cell_length_c 6.1607
_cell_angle_alpha 90.31
_cell_angle_beta 90.31
_cell_angle_gamma 120.35
loop_
_space_group_symop_operation_xyz
'x,y,z'
loop_
_atom_site_label
_atom_site_type_symbol
_atom_site_fract_x
_atom_site_fract_y
_atom_site_fract_z
_atom_site_occupancy
Tc1 Tc 0.0000 0.0000 0.0000 1
Ni1 Ni 0.0000 0.0000 0.5000 1
Br1 Br 0.0009 0.2820 0.2498 1
Br2 Br 0.2820 0.0009 0.2498 1
Br3 Br 0.2830 0.2830 0.7554 1
Br4 Br 0.7170 0.7170 0.2446 1
Br5 Br 0.7180 0.9991 0.7502 1
Br6 Br 0.9991 0.7180 0.7502 1

=====

4.
# TcNiBr | Alexandria | PBE | relaxed
# Crystal system = tetragonal
# SG = P4mm, No. 99
# Formation energy from raw total energies = 591.4 meV/atom
# Calculated volume = 16.70 A^3/atom
# Density = 7.84 g/cm3
data_TcNiBr
_chemical_formula_sum 'Tc1 Ni1 Br1'
_space_group_name_H-M_alt 'P 1'
_space_group_IT_number 1
_cell_length_a 2.9520
_cell_length_b 2.9520
_cell_length_c 5.7485
_cell_angle_alpha 90.00
_cell_angle_beta 90.00
_cell_angle_gamma 90.00
loop_
_space_group_symop_operation_xyz
'x,y,z'
loop_
_atom_site_label
_atom_site_type_symbol
_atom_site_fract_x
_atom_site_fract_y
_atom_site_fract_z
_atom_site_occupancy
Tc1 Tc 0.0000 0.0000 0.0000 1
Ni1 Ni 0.5000 0.5000 0.2536 1
Br1 Br 0.5000 0.5000 0.6881 1

=====

5.
# TcNi2Br | Alexandria | PBE | relaxed
# Crystal system = orthorhombic
# SG = Cmmm, No. 65
# Formation energy from raw total energies = 749.6 meV/atom
# Calculated volume = 14.00 A^3/atom
# Density = 8.76 g/cm3
data_TcNi2Br
_chemical_formula_sum 'Tc1 Ni2 Br1'
_space_group_name_H-M_alt 'P 1'
_space_group_IT_number 1
_cell_length_a 4.6631
_cell_length_b 4.6631
_cell_length_c 2.8192
_cell_angle_alpha 90.00
_cell_angle_beta 90.00
_cell_angle_gamma 114.04
loop_
_space_group_symop_operation_xyz
'x,y,z'
loop_
_atom_site_label
_atom_site_type_symbol
_atom_site_fract_x
_atom_site_fract_y
_atom_site_fract_z
_atom_site_occupancy
Tc1 Tc 0.0000 0.0000 0.0000 1
Ni1 Ni 0.0000 0.5000 0.5000 1
Ni2 Ni 0.5000 0.0000 0.5000 1
Br1 Br 0.5000 0.5000 0.0000 1

=====

6.
# TcNiBr | Alexandria | PBE | relaxed
# Crystal system = trigonal
# SG = P3m1, No. 156
# Formation energy from raw total energies = 586.2 meV/atom
# Calculated volume = 15.63 A^3/atom
# Density = 8.38 g/cm3
data_TcNiBr
_chemical_formula_sum 'Tc1 Ni1 Br1'
_space_group_name_H-M_alt 'P 1'
_space_group_IT_number 1
_cell_length_a 3.0090
_cell_length_b 3.0090
_cell_length_c 5.9809
_cell_angle_alpha 90.00
_cell_angle_beta 90.00
_cell_angle_gamma 120.00
loop_
_space_group_symop_operation_xyz
'x,y,z'
loop_
_atom_site_label
_atom_site_type_symbol
_atom_site_fract_x
_atom_site_fract_y
_atom_site_fract_z
_atom_site_occupancy
Tc1 Tc 0.0000 0.0000 0.0000 1
Ni1 Ni 0.3333 0.6667 0.6936 1
Br1 Br 0.6667 0.3333 0.3408 1

=====

7.
# TcNi3Br | Alexandria | PBE | relaxed
# Crystal system = cubic
# SG = Pm-3m, No. 221
# Formation energy from raw total energies = 1357.2 meV/atom
# Calculated volume = 18.86 A^3/atom
# Density = 6.23 g/cm3
data_TcNi3Br
_chemical_formula_sum 'Tc1 Ni3 Br1'
_space_group_name_H-M_alt 'P 1'
_space_group_IT_number 1
_cell_length_a 4.5518
_cell_length_b 4.5518
_cell_length_c 4.5518
_cell_angle_alpha 90.00
_cell_angle_beta 90.00
_cell_angle_gamma 90.00
loop_
_space_group_symop_operation_xyz
'x,y,z'
loop_
_atom_site_label
_atom_site_type_symbol
_atom_site_fract_x
_atom_site_fract_y
_atom_site_fract_z
_atom_site_occupancy
Tc1 Tc 0.0000 0.0000 0.0000 1
Ni1 Ni 0.0000 0.0000 0.5000 1
Ni2 Ni 0.0000 0.5000 0.0000 1
Ni3 Ni 0.5000 0.0000 0.0000 1
Br1 Br 0.5000 0.5000 0.5000 1

=====

8.
# TcNiBr | Alexandria | PBE | relaxed
# Crystal system = triclinic
# SG = P1, No. 1
# Formation energy from raw total energies = 135.8 meV/atom
# Calculated volume = 19.01 A^3/atom
# Density = 6.89 g/cm3
data_TcNiBr
_chemical_formula_sum 'Tc2 Ni2 Br2'
_space_group_name_H-M_alt 'P 1'
_space_group_IT_number 1
_cell_length_a 3.0210
_cell_length_b 3.4188
_cell_length_c 11.2639
_cell_angle_alpha 98.62
_cell_angle_beta 97.41
_cell_angle_gamma 90.01
loop_
_space_group_symop_operation_xyz
'x,y,z'
loop_
_atom_site_label
_atom_site_type_symbol
_atom_site_fract_x
_atom_site_fract_y
_atom_site_fract_z
_atom_site_occupancy
Tc1 Tc 0.0000 0.0000 0.0000 1
Tc2 Tc 0.3557 0.4418 0.8818 1
Ni1 Ni 0.2533 0.3306 0.6572 1
Ni2 Ni 0.8225 0.8823 0.7623 1
Br1 Br 0.2052 0.7576 0.5088 1
Br2 Br 0.5746 0.0916 0.1854 1

=====

9.
# TcNiBr | Alexandria | PBE | relaxed
# Crystal system = monoclinic
# SG = Pm, No. 6
# Formation energy from raw total energies = 131.2 meV/atom
# Calculated volume = 21.66 A^3/atom
# Density = 6.05 g/cm3
data_TcNiBr
_chemical_formula_sum 'Tc2 Ni2 Br2'
_space_group_name_H-M_alt 'P 1'
_space_group_IT_number 1
_cell_length_a 3.7257
_cell_length_b 3.4590
_cell_length_c 10.0843
_cell_angle_alpha 90.00
_cell_angle_beta 90.64
_cell_angle_gamma 90.00
loop_
_space_group_symop_operation_xyz
'x,y,z'
loop_
_atom_site_label
_atom_site_type_symbol
_atom_site_fract_x
_atom_site_fract_y
_atom_site_fract_z
_atom_site_occupancy
Tc1 Tc 0.0000 0.0000 0.0000 1
Tc2 Tc 0.4740 0.0000 0.1512 1
Ni1 Ni 0.4546 0.5000 0.3332 1
Ni2 Ni 0.9506 0.5000 0.1831 1
Br1 Br 0.0613 0.5000 0.8163 1
Br2 Br 0.5168 0.0000 0.4882 1

=====

10.
# TcNi2Br | Alexandria | PBE | relaxed
# Crystal system = cubic
# SG = Fm-3m, No. 225
# Formation energy from raw total energies = 972.1 meV/atom
# Calculated volume = 14.56 A^3/atom
# Density = 8.42 g/cm3
data_TcNi2Br
_chemical_formula_sum 'Tc1 Ni2 Br1'
_space_group_name_H-M_alt 'P 1'
_space_group_IT_number 1
_cell_length_a 4.3510
_cell_length_b 4.3510
_cell_length_c 4.3510
_cell_angle_alpha 60.00
_cell_angle_beta 60.00
_cell_angle_gamma 60.00
loop_
_space_group_symop_operation_xyz
'x,y,z'
loop_
_atom_site_label
_atom_site_type_symbol
_atom_site_fract_x
_atom_site_fract_y
_atom_site_fract_z
_atom_site_occupancy
Tc1 Tc 0.0000 0.0000 0.0000 1
Ni1 Ni 0.2500 0.2500 0.2500 1
Ni2 Ni 0.7500 0.7500 0.7500 1
Br1 Br 0.5000 0.5000 0.5000 1

=====

11.
# TcNi3Br | Alexandria | PBE | relaxed
# Crystal system = cubic
# SG = Pm-3m, No. 221
# Formation energy from raw total energies = 1236.8 meV/atom
# Calculated volume = 16.27 A^3/atom
# Density = 7.23 g/cm3
data_TcNi3Br
_chemical_formula_sum 'Tc1 Ni3 Br1'
_space_group_name_H-M_alt 'P 1'
_space_group_IT_number 1
_cell_length_a 4.3329
_cell_length_b 4.3329
_cell_length_c 4.3329
_cell_angle_alpha 90.00
_cell_angle_beta 90.00
_cell_angle_gamma 90.00
loop_
_space_group_symop_operation_xyz
'x,y,z'
loop_
_atom_site_label
_atom_site_type_symbol
_atom_site_fract_x
_atom_site_fract_y
_atom_site_fract_z
_atom_site_occupancy
Tc1 Tc 0.0000 0.0000 0.0000 1
Ni1 Ni 0.0000 0.5000 0.5000 1
Ni2 Ni 0.5000 0.0000 0.5000 1
Ni3 Ni 0.5000 0.5000 0.0000 1
Br1 Br 0.5000 0.5000 0.5000 1

=====

12.
# TcNi2Br | Alexandria | PBE | relaxed
# Crystal system = orthorhombic
# SG = Imm2, No. 44
# Formation energy from raw total energies = 766.8 meV/atom
# Calculated volume = 14.27 A^3/atom
# Density = 8.59 g/cm3
data_TcNi2Br
_chemical_formula_sum 'Tc1 Ni2 Br1'
_space_group_name_H-M_alt 'P 1'
_space_group_IT_number 1
_cell_length_a 5.1826
_cell_length_b 5.1826
_cell_length_c 5.1826
_cell_angle_alpha 147.62
_cell_angle_beta 129.35
_cell_angle_gamma 61.41
loop_
_space_group_symop_operation_xyz
'x,y,z'
loop_
_atom_site_label
_atom_site_type_symbol
_atom_site_fract_x
_atom_site_fract_y
_atom_site_fract_z
_atom_site_occupancy
Tc1 Tc 0.0000 0.0000 0.0000 1
Ni1 Ni 0.4954 0.4954 0.0000 1
Ni2 Ni 0.7439 0.2439 0.5000 1
Br1 Br 0.2380 0.7380 0.5000 1

=====

13.
# NiTe2Br | Alexandria | PBE | relaxed
# Crystal system = trigonal
# SG = R-3m, No. 166
# Formation energy from raw total energies = -260.5 meV/atom
# Calculated volume = 24.44 A^3/atom
# Density = 6.69 g/cm3
data_NiTe2Br
_chemical_formula_sum 'Ni1 Te2 Br1'
_space_group_name_H-M_alt 'P 1'
_space_group_IT_number 1
_cell_length_a 7.7511
_cell_length_b 7.7511
_cell_length_c 7.7511
_cell_angle_alpha 29.16
_cell_angle_beta 29.16
_cell_angle_gamma 29.16
loop_
_space_group_symop_operation_xyz
'x,y,z'
loop_
_atom_site_label
_atom_site_type_symbol
_atom_site_fract_x
_atom_site_fract_y
_atom_site_fract_z
_atom_site_occupancy
Ni1 Ni 0.0000 0.0000 0.0000 1
Te1 Te 0.2767 0.2767 0.2767 1
Te2 Te 0.7233 0.7233 0.7233 1
Br1 Br 0.5000 0.5000 0.5000 1